Entry 1:
Below is crystalline MgCuSe at its relaxed geometry, with properties calculated at the GGA-PBE level.

Geometry as POSCAR:
```
MgCuSe
1.0
6.4667 0.0000 0.0000
0.0000 3.5565 0.0000
0.0000 0.0000 9.4996
Mg Cu Se
4 4 4
Cartesian
1.2997 0.8891 1.3819
1.9336 2.6674 6.1317
4.5331 0.8891 3.3679
5.1669 2.6674 8.1177
0.7273 0.8891 4.2469
2.5060 2.6674 8.9966
3.9607 0.8891 0.5029
5.7393 2.6674 5.2527
0.8371 0.8891 7.9975
2.3962 2.6674 3.2477
4.0704 0.8891 6.2519
5.6295 2.6674 1.5021
```

energy above the lowest structure with this stoichiometry: 166 meV/atom
formation energy (no corrections): -0.3495 eV per atom
ρ: 5.07 Mg/m³
symmetry: Pnma, No. 62
N(E_F): 3.6 states/eV/cell


Entry 2:
Below is crystalline MgCuSe at its relaxed geometry, with properties calculated at the GGA-PBE level.

Geometry as POSCAR:
```
MgCuSe
1.0
2.7688 -2.8273 0.0000
2.7688 2.8273 0.0000
0.0000 0.0000 8.1413
Mg Cu Se
2 2 2
Cartesian
2.7688 1.7920 6.1060
2.7688 -1.7920 2.0353
2.7688 1.1947 2.0353
2.7688 -1.1947 6.1060
2.7688 0.0000 0.0000
2.7688 0.0000 4.0707
```

energy above the lowest structure with this stoichiometry: 415 meV/atom
formation energy (no corrections): -0.1009 eV per atom
ρ: 4.35 Mg/m³
symmetry: Cmcm, No. 63
N(E_F): 2.3 states/eV/cell


Entry 3:
Below is crystalline MgCu2Se at its relaxed geometry, with properties calculated at the GGA-PBE level.

Geometry as POSCAR:
```
MgCu2Se
1.0
1.5750 0.9093 7.9316
-1.5750 0.9093 7.9316
0.0000 -1.8187 7.9316
Mg Cu Se
1 2 1
Cartesian
0.0000 0.0000 0.0000
0.0000 0.0000 5.7926
0.0000 0.0000 18.0021
0.0000 0.0000 11.8974
```

energy above the lowest structure with this stoichiometry: 356 meV/atom
formation energy (no corrections): 0.1552 eV per atom
ρ: 5.61 Mg/m³
symmetry: R-3m, No. 166
N(E_F): 1.2 states/eV/cell


Entry 4:
Below is crystalline MgCu2Se at its relaxed geometry, with properties calculated at the GGA-PBE level.

Geometry as POSCAR:
```
MgCu2Se
1.0
-1.8606 1.8659 4.5984
1.8606 -1.8659 4.5984
1.8606 1.8659 -4.5984
Mg Cu Se
1 2 1
Cartesian
0.0000 0.0000 0.0000
1.8606 0.0000 2.3019
0.0000 1.8659 2.2965
0.0000 0.0000 4.5984
```

energy above the lowest structure with this stoichiometry: 102 meV/atom
formation energy (no corrections): -0.0984 eV per atom
ρ: 5.99 Mg/m³
symmetry: Immm, No. 71
N(E_F): 1.1 states/eV/cell


Entry 5:
Below is crystalline Mg4CuSe2 at its relaxed geometry, with properties calculated at the GGA-PBE level.

Geometry as POSCAR:
```
Mg4CuSe2
1.0
-3.2481 3.2481 3.6957
3.2481 -3.2481 3.6957
3.2481 3.2481 -3.6957
Mg Cu Se
4 1 2
Cartesian
1.4566 1.4566 0.0000
1.7914 -1.7914 3.6957
-1.7914 1.7914 3.6957
1.7914 1.7914 3.6957
0.0000 0.0000 3.6957
3.2481 0.0000 1.8479
0.0000 3.2481 1.8479
```

energy above the lowest structure with this stoichiometry: 308 meV/atom
formation energy (no corrections): -0.2365 eV per atom
ρ: 3.39 Mg/m³
symmetry: I4/mmm, No. 139
N(E_F): 1.5 states/eV/cell


Entry 6:
Below is crystalline Mg3Cu5Se12 at its relaxed geometry, with properties calculated at the GGA-PBE level.

Geometry as POSCAR:
```
Mg3Cu5Se12
1.0
-7.6672 7.6672 7.6672
7.6672 -7.6672 7.6672
7.6672 7.6672 -7.6672
Mg Cu Se
12 20 48
Cartesian
3.8336 1.9168 0.0000
7.6672 3.8336 -1.9168
1.9168 0.0000 3.8336
9.5840 0.0000 3.8336
0.0000 3.8336 1.9168
3.8336 -1.9168 7.6672
3.8336 9.5840 0.0000
7.6672 3.8336 5.7504
-1.9168 7.6672 3.8336
5.7504 7.6672 3.8336
0.0000 3.8336 9.5840
3.8336 5.7504 7.6672
0.0000 0.0000 0.0000
3.8336 3.8336 -3.8336
3.8336 -3.8336 3.8336
7.6672 0.0000 0.0000
11.5009 1.9168 0.0000
7.6672 -3.8336 5.7504
5.7504 7.6672 -3.8336
5.7504 0.0000 3.8336
3.8336 5.7504 0.0000
7.6672 3.8336 1.9168
-3.8336 3.8336 3.8336
0.0000 7.6672 0.0000
0.0000 0.0000 7.6672
3.8336 3.8336 3.8336
0.0000 3.8336 5.7504
3.8336 1.9168 7.6672
1.9168 7.6672 3.8336
1.9168 0.0000 11.5009
0.0000 11.5009 1.9168
-3.8336 5.7504 7.6672
2.3734 -0.2251 0.7348
9.1274 4.5684 -4.0587
10.0406 0.2251 0.7348
9.1274 -3.0989 4.0587
7.4421 -0.7348 2.3734
11.7260 -1.4602 3.0989
0.7348 2.3734 -0.2251
10.7661 3.6085 -1.4602
4.5684 4.0587 -1.4602
6.9325 2.3734 0.2251
-0.2251 0.7348 2.3734
4.0587 -1.4602 4.5684
7.4421 6.9325 -2.3734
4.0587 1.4602 3.0989
4.5684 -4.0587 9.1274
6.9325 -2.3734 7.4421
3.0989 4.0587 1.4602
8.4020 5.2938 0.2251
4.0587 9.1274 -3.0989
7.4421 0.7348 5.2938
2.3734 7.4421 -0.7348
9.1274 3.0989 3.6085
1.4602 3.0989 4.0587
2.3734 0.2251 6.9325
5.2938 7.4421 0.7348
6.2070 4.5684 3.6085
-1.4602 4.5684 4.0587
5.2938 0.2251 8.4020
0.2251 6.9325 2.3734
3.6085 -1.4602 10.7661
-0.7348 2.3734 7.4421
4.5684 3.6085 6.2070
0.7348 10.0406 0.2251
3.0989 11.7260 -1.4602
3.6085 6.2070 4.5684
0.2251 0.7348 10.0406
3.6085 9.1274 3.0989
7.8924 6.9325 5.2938
0.7348 5.2938 7.4421
3.0989 3.6085 9.1274
-3.0989 4.0587 9.1274
6.9325 5.2938 7.8924
-4.0587 9.1274 4.5684
0.2251 8.4020 5.2938
-1.4602 10.7661 3.6085
-2.3734 7.4421 6.9325
-1.4602 3.0989 11.7260
5.2938 7.8924 6.9325
```

formation energy (no corrections): -0.2160 eV per atom
ρ: 4.93 Mg/m³
symmetry: Ia-3d, No. 230
N(E_F): 53.9 states/eV/cell


Entry 7:
Below is crystalline MgCu2Se at its relaxed geometry, with properties calculated at the GGA-PBE level.

Geometry as POSCAR:
```
MgCu2Se
1.0
3.4678 -1.9675 0.0000
3.4678 1.9675 0.0000
-2.1995 0.0000 5.1011
Mg Cu Se
1 2 1
Cartesian
0.0000 0.0000 0.0000
2.3716 0.0000 2.1891
4.6537 0.0000 1.4507
0.0940 0.0000 3.3932
```

energy above the lowest structure with this stoichiometry: 106 meV/atom
formation energy (no corrections): -0.0944 eV per atom
ρ: 5.50 Mg/m³
symmetry: Cm, No. 8
N(E_F): 0.7 states/eV/cell


Entry 8:
Below is crystalline Mg3CuSe2 at its relaxed geometry, with properties calculated at the GGA-PBE level.

Geometry as POSCAR:
```
Mg3CuSe2
1.0
3.5040 2.0230 3.4833
-3.5040 2.0230 3.4833
0.0000 -4.0461 3.4833
Mg Cu Se
3 1 2
Cartesian
-1.7520 -1.0115 3.4833
-1.7520 1.0115 6.9666
0.0000 2.0230 3.4833
0.0000 0.0000 5.2250
0.0000 0.0000 1.8631
0.0000 0.0000 8.5868
```

energy above the lowest structure with this stoichiometry: 370 meV/atom
formation energy (no corrections): -0.2862 eV per atom
ρ: 3.30 Mg/m³
symmetry: R-3m, No. 166
N(E_F): 3.4 states/eV/cell


Entry 9:
Below is crystalline MgCu2Se at its relaxed geometry, with properties calculated at the GGA-PBE level.

Geometry as POSCAR:
```
MgCu2Se
1.0
3.4423 0.0000 0.0000
0.0000 3.4423 0.0000
0.0000 0.0000 5.5308
Mg Cu Se
1 2 1
Cartesian
0.0000 0.0000 0.0000
0.0000 0.0000 2.9713
1.7211 1.7211 3.8301
1.7211 1.7211 1.2462
```

energy above the lowest structure with this stoichiometry: 70 meV/atom
formation energy (no corrections): -0.1309 eV per atom
ρ: 5.84 Mg/m³
symmetry: P4mm, No. 99
N(E_F): 1.2 states/eV/cell


Entry 10:
Below is crystalline Mg2Cu2Se at its relaxed geometry, with properties calculated at the GGA-PBE level.

Geometry as POSCAR:
```
Mg2Cu2Se
1.0
6.6502 0.0000 0.0000
0.0000 6.6502 0.0000
0.0000 0.0000 3.9047
Mg Cu Se
4 4 2
Cartesian
1.0833 2.2418 0.0000
2.2418 5.5669 0.0000
4.4083 1.0833 0.0000
5.5669 4.4083 0.0000
0.8539 4.1789 1.9523
2.4712 0.8539 1.9523
4.1789 5.7963 1.9523
5.7963 2.4712 1.9523
0.0000 0.0000 1.9523
3.3251 3.3251 1.9523
```

energy above the lowest structure with this stoichiometry: 153 meV/atom
formation energy (no corrections): -0.1803 eV per atom
ρ: 4.90 Mg/m³
symmetry: P4/mbm, No. 127
N(E_F): 4.6 states/eV/cell


Entry 11:
Below is crystalline MgCu3Se2 at its relaxed geometry, with properties calculated at the GGA-PBE level.

Geometry as POSCAR:
```
MgCu3Se2
1.0
2.3757 1.3716 5.3164
-2.3757 1.3716 5.3164
0.0000 -2.7432 5.3164
Mg Cu Se
1 3 2
Cartesian
0.0000 0.0000 0.0000
-2.3757 0.0000 7.9745
-1.1878 0.6858 2.6582
1.1878 0.6858 2.6582
0.0000 0.0000 6.3743
0.0000 0.0000 9.5747
```

energy above the lowest structure with this stoichiometry: 208 meV/atom
formation energy (no corrections): 0.0576 eV per atom
ρ: 5.96 Mg/m³
symmetry: R-3m, No. 166
N(E_F): 2.9 states/eV/cell


Q: Look up the N(E_F) of the fourth one.
A: 1.1 states/eV/cell


Q: Which of these has the highest formation energy (no corrections)?
A: number 3


Q: Among the records above, which one has the highest formation energy (no corrections)?
A: number 3


Q: formation energy (no corrections) of number 6 (Mg3Cu5Se12)?
A: -0.2160 eV per atom